Compound: Ce6CdCo2
Source: Alexandria via LeMat-Bulk
Functional: GGA-PBE
Structure: relaxed

a = 4.558 Å, b = 5.750 Å, c = 8.625 Å
α = 92.81°, β = 90.00°, γ = 113.35°
Sites, in units of the cell vectors:
1 Ce 0.288 0.577 0.398
2 Ce 0.403 0.805 0.817
3 Ce 0.075 0.151 0.867
4 Ce 0.712 0.423 0.602
5 Ce 0.597 0.195 0.183
6 Ce 0.925 0.849 0.133
7 Cd 0.000 0.000 0.500
8 Co 0.257 0.514 0.116
9 Co 0.743 0.486 0.884

Results
Formation energy: -0.152 eV per atom
Space-group type: C2/m, No. 12

=====

Compound: CeErCdCo
Source: Alexandria via LeMat-Bulk
Functional: GGA-PBE
Structure: relaxed

a = 5.058 Å, b = 5.058 Å, c = 5.058 Å
α = 60.00°, β = 60.00°, γ = 60.00°
Sites, in units of the cell vectors:
1 Er 0.500 0.500 0.500
2 Co 0.250 0.250 0.250
3 Cd 0.750 0.750 0.750
4 Ce 0.000 0.000 0.000

Results
Formation energy: -0.047 eV per atom
Space-group type: F-43m, No. 216

=====

Compound: CeCdCo2H8
Source: Alexandria via LeMat-Bulk
Functional: GGA-PBE
Structure: relaxed

a = 4.663 Å, b = 4.663 Å, c = 6.141 Å
α = 67.68°, β = 67.68°, γ = 60.00°
Sites, in units of the cell vectors:
1 H 0.100 0.448 0.858
2 H 0.448 0.594 0.858
3 H 0.206 0.206 0.382
4 H 0.794 0.794 0.618
5 H 0.900 0.552 0.142
6 H 0.406 0.900 0.142
7 H 0.552 0.406 0.142
8 H 0.594 0.100 0.858
9 Ce 0.500 0.500 0.500
10 Co 0.695 0.695 0.916
11 Co 0.305 0.305 0.084
12 Cd 0.000 0.000 0.000

Results
Space-group type: R-3, No. 148

=====

Compound: Ce6Cd2CoN
Source: Alexandria via LeMat-Bulk
Functional: GGA-PBE
Structure: relaxed

a = 7.156 Å, b = 7.156 Å, c = 7.173 Å
α = 60.08°, β = 60.08°, γ = 89.99°
Sites, in units of the cell vectors:
1 Ce 0.762 0.762 0.475
2 Ce 0.761 0.761 0.000
3 Ce 0.761 0.239 0.000
4 Ce 0.239 0.239 0.000
5 Ce 0.239 0.761 0.000
6 Ce 0.238 0.238 0.525
7 N 0.000 0.000 0.000
8 Co 0.500 0.500 0.000
9 Cd 0.750 0.250 0.500
10 Cd 0.250 0.750 0.500

Results
Space-group type: I4/mmm, No. 139
Uncorrected formation energy: -0.305 eV per atom

=====

Compound: CsCeCd10
Source: Alexandria via LeMat-Bulk
Functional: GGA-PBE
Structure: relaxed

a = 4.808 Å, b = 6.275 Å, c = 10.713 Å
α = 90.00°, β = 90.00°, γ = 90.00°
Sites, in units of the cell vectors:
1 Cd 0.000 0.500 0.839
2 Cd 0.000 0.500 0.161
3 Cd 0.000 0.000 0.674
4 Cd 0.500 0.771 0.219
5 Cd 0.500 0.229 0.219
6 Cd 0.500 0.229 0.781
7 Cd 0.000 0.000 0.326
8 Cd 0.500 0.500 0.000
9 Cd 0.500 0.000 0.500
10 Cd 0.500 0.771 0.781
11 Cs 0.000 0.500 0.500
12 Ce 0.000 0.000 0.000

Results
Formation energy: -0.064 eV per atom
Space-group type: Pmmm, No. 47

=====

Compound: Cs2CeCd3F12
Source: Alexandria via LeMat-Bulk
Functional: GGA-PBE
Structure: relaxed

a = 8.491 Å, b = 8.491 Å, c = 8.491 Å
α = 56.74°, β = 56.74°, γ = 56.74°
Sites, in units of the cell vectors:
1 F 0.328 0.912 0.328
2 F 0.686 0.070 0.070
3 F 0.912 0.328 0.328
4 F 0.328 0.328 0.912
5 F 0.314 0.930 0.930
6 F 0.672 0.672 0.088
7 F 0.930 0.930 0.314
8 F 0.930 0.314 0.930
9 F 0.088 0.672 0.672
10 F 0.070 0.070 0.686
11 F 0.672 0.088 0.672
12 F 0.070 0.686 0.070
13 Cs 0.407 0.407 0.407
14 Cs 0.593 0.593 0.593
15 Cd 0.000 0.000 0.500
16 Cd 0.500 0.000 0.000
17 Cd 0.000 0.500 0.000
18 Ce 0.000 0.000 0.000

Results
Space-group type: R-3m, No. 166
Uncorrected formation energy: -2.757 eV per atom

=====

Listing total moment for the structures above in their given order: 0.7, 0.0, 1.4, 4.7, 1.2, 0.0 μB/cell.
Listing VASP energy for the structures above in their given order: -5.7883, -4.6766, -4.0678, -5.5911, -1.3921, -4.5816 eV/atom.